1.
The following is a DFT calculation (PBE) of PmCdCu2 after structural relaxation.

The space group is P4/mmm (No. 123) and the conventional cell measures 3.3972, 3.3972 and 6.7671 Å, with angles of 90.00, 90.00 and 90.00 degrees. Symmetry generates all atoms from Pm at (0.0000, 0.0000, 0.0000), Cd at (0.0000, 0.0000, 0.5000) and Cu at (0.5000, 0.5000, 0.2855).

The value obtained for the total moment is 0.00 μB per formula unit. The energy of formation from the pure elements is -0.045 eV/atom. The total energy is -3.510 eV per atom.



2.
The following is a DFT calculation (PBE) of KMgAs2 after structural relaxation.

The space group is Cmm2 (No. 35) and the conventional cell measures 5.0953, 5.3218 and 8.1490 Å, with angles of 90.00, 90.00 and 90.00 degrees. Symmetry generates all atoms from K at (0.0000, 0.0000, 0.0000), Mg at (0.0000, 0.5000, 0.6394), As at (0.0000, 0.0000, 0.4133) and As at (0.0000, 0.5000, 0.3055).

The value obtained for the total moment is 0.00 μB per formula unit. The energy of formation from the pure elements is -0.061 eV/atom. The total energy is -3.059 eV per atom.



3.
The following is a DFT calculation (PBE) of Mg4Bi2Pt after structural relaxation.

The space group is C2/m (No. 12) and the conventional cell measures 7.1104, 7.0775 and 8.3013 Å, with angles of 90.00, 115.14 and 90.00 degrees. Symmetry generates all atoms from Mg at (0.1722, 0.0000, 0.3437), Mg at (0.2500, 0.2500, 0.0000), Bi at (0.1327, 0.5000, 0.2700) and Pt at (0.0000, 0.0000, 0.0000).

The value obtained for the total moment is 0.00 μB per formula unit. The energy of formation from the pure elements is -0.237 eV/atom. The total energy is -3.120 eV per atom.



Among the records above, which one has the lowest energy of formation from the pure elements?
Mg4Bi2Pt